(1)
Entry from OQMD: crystalline LiTaPd2 at its relaxed geometry (PBE).

It has space group F-43m (No. 216), with a = 6.2315 Å, b = 6.2315 Å, c = 6.2315 Å, α = 90.00°, β = 90.00° and γ = 90.00°. Symmetry generates all atoms from Li at (0.0000, 0.0000, 0.0000), Ta at (0.2500, 0.2500, 0.2500), Pd at (0.0000, 0.0000, 0.5000) and Pd at (0.2500, 0.2500, 0.7500).

For the total DFT energy (no corrections), the calculation gives -6.064 eV per atom. The volume comes out at 60 Å³/f.u.


(2)
Entry from OQMD: crystalline Dy3Mg3Tl2Au at its relaxed geometry (PBE).

It has space group P-62m (No. 189), with a = 7.5196 Å, b = 7.5196 Å, c = 4.5109 Å, α = 90.00°, β = 90.00° and γ = 120.00°. Symmetry generates all atoms from Dy at (0.0000, 0.4091, 0.0000), Mg at (0.0000, 0.7645, 0.5000), Tl at (0.3333, 0.6667, 0.5000) and Au at (0.0000, 0.0000, 0.0000).

For the total DFT energy (no corrections), the calculation gives -3.401 eV per atom. The volume comes out at 221 Å³/f.u.


(3)
Entry from OQMD: crystalline RbCuSnS3 at its relaxed geometry (PBE).

It has space group C2/m (No. 12), with a = 16.8958 Å, b = 3.9713 Å, c = 8.5526 Å, α = 90.00°, β = 100.18° and γ = 90.00°. Symmetry generates all atoms from Rb at (0.1465, 0.0000, 0.0613), Cu at (0.0186, 0.5000, 0.7421), Sn at (0.1622, 0.0000, 0.5630), S at (0.0000, 0.0000, 0.5000), S at (0.0000, 0.5000, 0.0000), S at (0.1553, 0.5000, 0.7592) and S at (0.1787, 0.5000, 0.3634).

For the total DFT energy (no corrections), the calculation gives -3.932 eV per atom. The volume comes out at 141 Å³/f.u.


(4)
Entry from OQMD: crystalline AcReAu at its relaxed geometry (PBE).

It has space group F-43m (No. 216), with a = 6.7351 Å, b = 6.7351 Å, c = 6.7351 Å, α = 90.00°, β = 90.00° and γ = 90.00°. Symmetry generates all atoms from Ac at (0.0000, 0.0000, 0.0000), Re at (0.2500, 0.2500, 0.2500) and Au at (0.0000, 0.0000, 0.5000).

The distance to the lowest polymorph of the same formula is 0.00 eV/f.u. For the total DFT energy (no corrections), the calculation gives -5.814 eV per atom. The value obtained for the formation energy is 0.78 eV per atom. The volume comes out at 76 Å³/f.u.


(5)
Entry from OQMD: crystalline NbIBr2O at its relaxed geometry (PBE).

It has space group C2 (No. 5), with a = 14.3667 Å, b = 3.9845 Å, c = 12.3484 Å, α = 90.00°, β = 120.44° and γ = 90.00°. Symmetry generates all atoms from Nb at (0.1295, 0.0000, 0.2043), I at (0.1046, 0.0626, 0.9542), Br at (0.1076, 0.0534, 0.3886), Br at (0.1748, 0.5539, 0.7124) and O at (0.1218, 0.5463, 0.1925).

The distance to the lowest polymorph of the same formula is 0.01 eV/f.u. For the total DFT energy (no corrections), the calculation gives -5.218 eV per atom. The volume comes out at 152 Å³/f.u.


(6)
Entry from OQMD: crystalline BiAsAuO at its relaxed geometry (PBE).

It has space group Pmc2_1 (No. 26), with a = 4.1626 Å, b = 6.8047 Å, c = 6.5449 Å, α = 90.00°, β = 90.00° and γ = 90.00°. Symmetry generates all atoms from Bi at (0.0000, 0.2472, 0.0000), As at (0.0000, 0.1644, 0.4262), Au at (0.5000, 0.2746, 0.5969) and O at (0.5000, 0.3543, 0.9525).

The distance to the lowest polymorph of the same formula is 0.99 eV/f.u. For the total DFT energy (no corrections), the calculation gives -4.343 eV per atom. The volume comes out at 93 Å³/f.u.


(7)
Entry from OQMD: crystalline Tm3AlTl2CuAu2 at its relaxed geometry (PBE).

It has space group Amm2 (No. 38), with a = 3.8118 Å, b = 13.3709 Å, c = 7.6106 Å, α = 90.00°, β = 90.00° and γ = 90.00°. Symmetry generates all atoms from Tm at (0.0000, 0.0000, 0.0000), Tm at (0.0000, 0.2011, 0.3908), Al at (0.5000, 0.0000, 0.3383), Tl at (0.5000, 0.1259, 0.7134), Cu at (0.0000, 0.0000, 0.5574) and Au at (0.5000, 0.1582, 0.1039).

For the total DFT energy (no corrections), the calculation gives -4.137 eV per atom. The volume comes out at 194 Å³/f.u.


(8)
Entry from OQMD: crystalline Ba2AgSn3 at its relaxed geometry (PBE).

It has space group Fmmm (No. 69), with a = 9.7451 Å, b = 10.1004 Å, c = 16.8157 Å, α = 90.00°, β = 90.00° and γ = 90.00°. Symmetry generates all atoms from Ba at (0.0000, 0.2443, 0.0000), Ba at (0.2500, 0.2500, 0.2500), Ag at (0.0000, 0.0000, 0.3331), Sn at (0.0000, 0.0000, 0.1693) and Sn at (0.2438, 0.0000, 0.4152).

For the total DFT energy (no corrections), the calculation gives -3.682 eV per atom. The volume comes out at 207 Å³/f.u.